[1]
First-principles (GGA-PBE) data for crystalline Te2I3 at its relaxed geometry, as listed in Alexandria via LeMat-Bulk. Values from VASP.

Calculated values
Space group = Fdd2 (43)
Raw formation energy = 0.033 eV/atom
Energy = -2.1539 eV/atom

Geometry as Quantum ESPRESSO input:
```
&SYSTEM
  ibrav = 0, nat = 10, ntyp = 2
/
ATOMIC_SPECIES
Te 127.60 Te.upf
I 126.90 I.upf
ATOMIC_POSITIONS angstrom
Te 10.0728 -4.4282 -0.7759
Te 9.6752 -2.3905 4.8118
Te 17.8505 -3.6879 5.2499
Te 1.8103 -5.0424 -0.5230
I 15.7398 -5.9786 4.5882
I 3.9224 -2.7208 0.1275
I 7.5741 -6.3929 -0.5846
I 12.0009 -4.2182 5.9912
I -0.0177 -0.3886 0.1405
I 9.8740 -3.4095 2.0180
CELL_PARAMETERS angstrom
-0.1745 -3.8234 1.3819
2.4523 -4.0453 -4.8917
17.4184 -0.0848 7.9559
```


[2]
First-principles (GGA-PBE) data for crystalline CaTl2Zn at its relaxed geometry, as listed in Alexandria via LeMat-Bulk. Values from VASP.

Calculated values
Energy relative to the elements = -0.164 eV/atom
Space group = P4/mmm (123)
Energy = -2.1663 eV/atom

Geometry as Quantum ESPRESSO input:
```
&SYSTEM
  ibrav = 0, nat = 4, ntyp = 3
/
ATOMIC_SPECIES
Tl 204.38 Tl.upf
Ca 40.08 Ca.upf
Zn 65.41 Zn.upf
ATOMIC_POSITIONS angstrom
Tl 0.0000 0.0000 0.0000
Tl -1.0811 0.2368 -3.2768
Ca -2.3701 -1.9143 -1.1817
Zn -2.7941 1.4961 -0.7953
CELL_PARAMETERS angstrom
-1.5052 3.6471 -2.8904
-0.6570 -3.1736 -3.6631
-4.0831 -0.6550 1.2998
```


[3]
First-principles (GGA-PBE) data for crystalline MgS2I at its relaxed geometry, as listed in Alexandria via LeMat-Bulk. Values from VASP.

Calculated values
Space group = Fm-3m (225)
ΔE to the lowest computed polymorph = 0.767 eV per atom
Raw formation energy = 0.304 eV/atom
Energy = -2.5460 eV/atom

Geometry as Quantum ESPRESSO input:
```
&SYSTEM
  ibrav = 0, nat = 4, ntyp = 3
/
ATOMIC_SPECIES
I 126.90 I.upf
S 32.06 S.upf
Mg 24.30 Mg.upf
ATOMIC_POSITIONS angstrom
I 3.4777 3.4777 3.4777
S 1.7388 1.7388 1.7388
S 5.2165 5.2165 5.2165
Mg 0.0000 0.0000 0.0000
CELL_PARAMETERS angstrom
0.0000 3.4777 3.4777
3.4777 0.0000 3.4777
3.4777 3.4777 0.0000
```


[4]
First-principles (GGA-PBE) data for crystalline Hf2ZnCuH at its relaxed geometry, as listed in Alexandria via LeMat-Bulk. Values from VASP.

Calculated values
Space group = P4/mmm (123)
ΔE to the lowest computed polymorph = 0.087 eV per atom
Energy = -5.8129 eV/atom

Geometry as Quantum ESPRESSO input:
```
&SYSTEM
  ibrav = 0, nat = 5, ntyp = 4
/
ATOMIC_SPECIES
H 1.01 H.upf
Zn 65.41 Zn.upf
Hf 178.49 Hf.upf
Cu 63.55 Cu.upf
ATOMIC_POSITIONS angstrom
H 0.0000 0.0000 0.0000
Zn 0.0000 0.0000 1.9619
Hf 0.0000 2.1446 0.0000
Hf 2.1446 0.0000 0.0000
Cu 2.1446 2.1446 1.9619
CELL_PARAMETERS angstrom
4.2891 0.0000 0.0000
0.0000 4.2891 0.0000
0.0000 0.0000 3.9238
```


[5]
First-principles (GGA-PBE) data for crystalline Pr2Ga3Cu4Ni at its relaxed geometry, as listed in Alexandria via LeMat-Bulk. Values from VASP.

Calculated values
Energy relative to the elements = -0.344 eV/atom
Space group = P-4m2 (115)
Energy = -4.4246 eV/atom

Geometry as Quantum ESPRESSO input:
```
&SYSTEM
  ibrav = 0, nat = 10, ntyp = 4
/
ATOMIC_SPECIES
Pr 140.91 Pr.upf
Ga 69.72 Ga.upf
Cu 63.55 Cu.upf
Ni 58.69 Ni.upf
ATOMIC_POSITIONS angstrom
Pr 2.1029 0.0000 2.5844
Pr 0.0000 2.1029 7.4397
Ga 0.0000 0.0000 5.0121
Ga 2.1029 0.0000 8.7295
Ga 0.0000 2.1029 1.2946
Cu 2.1029 2.1029 0.0000
Cu 0.0000 0.0000 0.0000
Cu 2.1029 0.0000 6.2767
Cu 0.0000 2.1029 3.7474
Ni 2.1029 2.1029 5.0121
CELL_PARAMETERS angstrom
4.2059 0.0000 0.0000
0.0000 4.2059 0.0000
0.0000 0.0000 10.0241
```


[6]
First-principles (GGA-PBE) data for crystalline CdRePO2 at its relaxed geometry, as listed in Alexandria via LeMat-Bulk. Values from VASP.

Calculated values
Space group = P4/mmm (123)
ΔE to the lowest computed polymorph = 1.885 eV per atom
Raw formation energy = 1.137 eV/atom
Energy = -4.6005 eV/atom

Geometry as Quantum ESPRESSO input:
```
&SYSTEM
  ibrav = 0, nat = 5, ntyp = 4
/
ATOMIC_SPECIES
Re 186.21 Re.upf
O 16.00 O.upf
P 30.97 P.upf
Cd 112.41 Cd.upf
ATOMIC_POSITIONS angstrom
Re 1.9613 1.9613 2.9323
O 0.0000 1.9613 0.0000
O 1.9613 0.0000 0.0000
P 0.0000 0.0000 2.9323
Cd 0.0000 0.0000 0.0000
CELL_PARAMETERS angstrom
3.9225 0.0000 0.0000
0.0000 3.9225 0.0000
0.0000 0.0000 5.8647
```


[7]
First-principles (GGA-PBE) data for crystalline LaZn4CuPt2 at its relaxed geometry, as listed in Alexandria via LeMat-Bulk. Values from VASP.

Calculated values
Energy relative to the elements = -0.460 eV/atom
Space group = R-3m (166)
Energy = -3.7349 eV/atom

Geometry as Quantum ESPRESSO input:
```
&SYSTEM
  ibrav = 0, nat = 8, ntyp = 4
/
ATOMIC_SPECIES
La 138.91 La.upf
Zn 65.41 Zn.upf
Cu 63.55 Cu.upf
Pt 195.08 Pt.upf
ATOMIC_POSITIONS angstrom
La 0.0000 0.0000 0.0000
Zn -7.0477 -2.7547 3.8281
Zn -4.0493 -5.6455 4.4431
Zn -5.2762 -0.9708 2.2631
Zn -2.2778 -3.8615 2.8781
Cu -4.6628 -3.3081 3.3531
Pt -6.5934 -5.0552 4.9498
Pt -2.7321 -1.5611 1.7564
CELL_PARAMETERS angstrom
-0.9625 -4.2112 0.0736
0.2275 -2.2034 3.7093
-8.5906 -0.2017 2.9232
```


[8]
First-principles (GGA-PBE) data for crystalline Tm8Th4Sc at its relaxed geometry, as listed in Alexandria via LeMat-Bulk. Values from VASP.

Calculated values
Energy relative to the elements = 0.192 eV/atom
Space group = R-3m (166)
Energy = -5.3297 eV/atom

Geometry as Quantum ESPRESSO input:
```
&SYSTEM
  ibrav = 0, nat = 13, ntyp = 3
/
ATOMIC_SPECIES
Tm 168.93 Tm.upf
Th 232.04 Th.upf
Sc 44.96 Sc.upf
ATOMIC_POSITIONS angstrom
Tm -1.4951 -1.9292 -4.5170
Tm -3.3627 -4.5788 -0.6370
Tm -2.8582 -1.1268 -1.2097
Tm -6.4457 -2.6130 -0.3726
Tm -1.9997 -5.3812 -3.9442
Tm -4.6187 -3.4647 -3.8959
Tm -0.2391 -3.0433 -1.2581
Tm 1.5879 -3.8949 -4.7814
Th 0.0000 0.0000 0.0000
Th 1.6439 -0.7663 -3.1703
Th -1.3032 1.3904 -3.1159
Th -2.9472 2.1567 0.0544
Sc 0.5182 -5.4107 -2.6314
CELL_PARAMETERS angstrom
-5.8943 4.3134 0.1089
3.2879 -1.5326 -6.3406
-2.2514 -9.2887 1.0777
```


[9]
First-principles (GGA-PBE) data for crystalline NdIn4Pd2 at its relaxed geometry, as listed in Alexandria via LeMat-Bulk. Values from VASP.

Calculated values
Energy relative to the elements = -0.383 eV/atom
Space group = Cmmm (65)
ΔE to the lowest computed polymorph = 0.192 eV per atom
Energy = -4.1129 eV/atom

Geometry as Quantum ESPRESSO input:
```
&SYSTEM
  ibrav = 0, nat = 7, ntyp = 3
/
ATOMIC_SPECIES
Nd 144.24 Nd.upf
In 114.82 In.upf
Pd 106.42 Pd.upf
ATOMIC_POSITIONS angstrom
Nd 0.0000 0.0000 0.0000
In 2.1928 2.1718 5.6425
In 0.0000 2.1718 3.0612
In 2.1928 0.0000 2.9901
In 0.0000 0.0000 5.5714
Pd 2.1928 2.1718 1.3267
Pd 2.1928 0.0000 7.3059
CELL_PARAMETERS angstrom
4.3856 0.0000 0.0000
0.0000 4.3435 0.0000
0.0000 -2.1718 8.6326
```


[10]
First-principles (GGA-PBE) data for crystalline Tl2HgF at its relaxed geometry, as listed in Alexandria via LeMat-Bulk. Values from VASP.

Calculated values
Space group = Cm (8)
ΔE to the lowest computed polymorph = 0.026 eV per atom
Raw formation energy = -0.773 eV/atom
Energy = -2.4993 eV/atom

Geometry as Quantum ESPRESSO input:
```
&SYSTEM
  ibrav = 0, nat = 4, ntyp = 3
/
ATOMIC_SPECIES
Tl 204.38 Tl.upf
Hg 200.59 Hg.upf
F 19.00 F.upf
ATOMIC_POSITIONS angstrom
Tl 1.5879 0.9168 7.7984
Tl 1.7561 1.0139 1.8169
Hg 3.2542 1.8788 4.8017
F 3.4553 1.9949 -0.0579
CELL_PARAMETERS angstrom
3.4904 -0.1169 -0.0465
1.6440 3.0812 -0.0465
1.5679 0.9052 9.6656
```


[11]
First-principles (GGA-PBE) data for crystalline K2SiC at its relaxed geometry, as listed in Alexandria via LeMat-Bulk. Values from VASP.

Calculated values
Space group = Fm-3m (225)
ΔE to the lowest computed polymorph = 1.159 eV per atom
Raw formation energy = 1.739 eV/atom
Energy = -2.4713 eV/atom

Geometry as Quantum ESPRESSO input:
```
&SYSTEM
  ibrav = 0, nat = 4, ntyp = 3
/
ATOMIC_SPECIES
C 12.01 C.upf
K 39.10 K.upf
Si 28.09 Si.upf
ATOMIC_POSITIONS angstrom
C 0.0000 0.0000 0.0000
K -2.5237 0.1028 -1.9978
K -7.5710 0.3084 -5.9933
Si -5.0473 0.2056 -3.9956
CELL_PARAMETERS angstrom
-3.2530 -2.8825 -2.9604
-5.0513 1.3853 -0.4691
-1.7904 1.9083 -4.5615
```


[12]
First-principles (GGA-PBE) data for crystalline Hf6TiIn2 at its relaxed geometry, as listed in Alexandria via LeMat-Bulk. Values from VASP.

Calculated values
Energy relative to the elements = 0.037 eV/atom
Space group = C2/m (12)
Energy = -8.0845 eV/atom

Geometry as Quantum ESPRESSO input:
```
&SYSTEM
  ibrav = 0, nat = 9, ntyp = 3
/
ATOMIC_SPECIES
Hf 178.49 Hf.upf
Ti 47.87 Ti.upf
In 114.82 In.upf
ATOMIC_POSITIONS angstrom
Hf -1.2448 0.5020 -3.9800
Hf -8.4260 -2.1900 -6.1267
Hf -5.4302 -1.7678 -6.0643
Hf -2.4464 -2.3026 -4.7582
Hf -7.2244 0.6146 -5.3484
Hf -4.2407 0.0798 -4.0423
Ti 0.0000 0.0000 0.0000
In -2.7494 0.6589 -1.1930
In -6.9214 -2.3469 -8.9137
CELL_PARAMETERS angstrom
-0.2868 2.3238 -1.9547
-0.3314 -3.6091 -6.6218
-9.0526 -0.4027 -1.5302
```